VASP calculation (PBE-GGA) on a relaxed structure of La8Sm6Th.

Results
The total energy is -4.91 eV/atom. The formation energy comes out at 0.104 eV/atom.

Cell: 9.3218 9.3218 21.1990 Å, 90.00 90.00 120.00°
Closest atoms and distances in Å follow each position.
Space group R-3 (No. 148, hexagonal axes)
Inequivalent atoms, fractional coordinates:
La 0.0000 0.0000 0.0778 x6  4 La 3.30-3.50, 3 Sm 3.44
La 0.0792 0.5187 0.3049 x18  3 Sm 3.49-3.86, 5 La 3.50-3.57, 1 Th 3.58
Sm 0.0478 0.8014 0.2060 x18  3 La 3.44-3.53, 1 Th 3.56, 4 Sm 3.65-3.85
Th 0.0000 0.0000 0.5000 x3  6 Sm 3.56, 6 La 3.58